First-principles (PBE-GGA) data for a geometry-optimized K2DyHoTe4 structure, as listed in Alexandria.

Unit cell a=7.771 b=4.488 c=8.637 alpha=90.00 beta=107.44 gamma=90.00
Atoms (fractional coordinates):
K  0.000  0.000  0.000
K  0.500  0.500  0.000
Dy  0.000  0.500  0.500
Ho  0.500  0.000  0.500
Te  0.237  0.000  0.708
Te  0.265  0.500  0.292
Te  0.735  0.500  0.708
Te  0.763  0.000  0.292

Results
As for the total energy: -4.386 eV/atom. The formation energy without anion corrections is -1.39 eV per atom. The space-group type is No. 10.